A plane-wave DFT calculation with PBE-GGA was carried out for a geometry-optimized LiTaRe2 structure.

Properties
For the density of states at the Fermi level, the calculation gives 0.764 states/eV per atom. The calculation puts the formation energy at 862 meV per atom. For the energy above the most stable polymorph in this dataset, the calculation gives 3.04 eV per formula unit. As for the total energy: -70.4 eV per cell.

Unit cell a=5.538 b=5.538 c=5.538 alpha=102.54 beta=102.54 gamma=124.45
Sites, in units of the cell vectors:
Li: 0.000 0.000 0.000
Li: 0.750 0.250 0.500
Ta: 0.250 0.750 0.500
Ta: 0.500 0.500 0.000
Re: 0.096 0.625 0.971
Re: 0.375 0.346 0.471
Re: 0.654 0.125 0.029
Re: 0.875 0.904 0.529